# Ac3CoCu | Alexandria via LeMat-Bulk | PBE-GGA | optimized geometry
# Crystal system = orthorhombic
data_Ac3CoCu
_chemical_formula_sum 'Ac12 Co4 Cu4'
_cell_length_a 10.917
_cell_length_b 4.210
_cell_length_c 13.661
_cell_angle_alpha 90.00
_cell_angle_beta 90.00
_cell_angle_gamma 90.00
_space_group_name_H-M_alt 'P n m a'
_space_group_IT_number 62
_space_group_name_Hall '-P 2ac 2n'
loop_
_atom_site_label
_atom_site_type_symbol
_atom_site_fract_x
_atom_site_fract_y
_atom_site_fract_z
Ac1 Ac 0.037 0.250 0.121
Ac2 Ac 0.086 0.750 0.607
Ac3 Ac 0.231 0.750 0.328
Co1 Co 0.024 0.250 0.742
Cu1 Cu 0.226 0.750 0.003

# NdAs3Pd3 | Alexandria via LeMat-Bulk | PBE-GGA | optimized geometry
# Crystal system = cubic
data_NdAs3Pd3
_chemical_formula_sum 'Nd2 As6 Pd6'
_cell_length_a 6.833
_cell_length_b 6.833
_cell_length_c 6.833
_cell_angle_alpha 90.00
_cell_angle_beta 90.00
_cell_angle_gamma 90.00
_space_group_name_H-M_alt 'P m -3 n'
_space_group_IT_number 223
_space_group_name_Hall '-P 4n 2 3'
loop_
_atom_site_label
_atom_site_type_symbol
_atom_site_fract_x
_atom_site_fract_y
_atom_site_fract_z
Nd1 Nd 0.000 0.000 0.000
As1 As 0.000 0.250 0.500
Pd1 Pd 0.000 0.500 0.250

# In3BiOs | Alexandria via LeMat-Bulk | PBE-GGA | optimized geometry
# Crystal system = cubic
data_In3BiOs
_chemical_formula_sum 'In3 Bi1 Os1'
_cell_length_a 5.229
_cell_length_b 5.229
_cell_length_c 5.229
_cell_angle_alpha 90.00
_cell_angle_beta 90.00
_cell_angle_gamma 90.00
_space_group_name_H-M_alt 'P m -3 m'
_space_group_IT_number 221
_space_group_name_Hall '-P 4 2 3'
loop_
_atom_site_label
_atom_site_type_symbol
_atom_site_fract_x
_atom_site_fract_y
_atom_site_fract_z
In1 In 0.000 0.000 0.500
Bi1 Bi 0.500 0.500 0.500
Os1 Os 0.000 0.000 0.000

# Th3B2C3 | Alexandria via LeMat-Bulk | PBE-GGA | optimized geometry
# Crystal system = monoclinic
data_Th3B2C3
_chemical_formula_sum 'Th3 B2 C3'
_cell_length_a 3.724
_cell_length_b 3.791
_cell_length_c 9.250
_cell_angle_alpha 90.00
_cell_angle_beta 99.83
_cell_angle_gamma 90.00
_space_group_name_H-M_alt 'P 1 2/m 1'
_space_group_IT_number 10
_space_group_name_Hall '-P 2y'
loop_
_atom_site_label
_atom_site_type_symbol
_atom_site_fract_x
_atom_site_fract_y
_atom_site_fract_z
Th1 Th 0.000 0.000 0.000
Th2 Th 0.377 0.500 0.698
B1 B 0.145 0.000 0.441
C1 C 0.116 0.000 0.276
C2 C 0.500 0.500 0.000

| no. | ΔH_f (0 K) (kJ/mol of atoms) | calculated density (g/cm3) |
| --- | --- | --- |
| 1 | -5.4 | 8.50 |
| 2 | -34.7 | 7.16 |
| 3 | 42.2 | 8.64 |
| 4 | -40.5 | 9.73 |